Compound: RbNbOF2
Source: Alexandria via LeMat-Bulk
Functional: GGA-PBEsol
Structure: relaxed

Structure (CIF):
```
data_RbNbOF2
_chemical_formula_sum 'Rb1 Nb1 O1 F2'
_cell_length_a 4.382
_cell_length_b 4.682
_cell_length_c 4.682
_cell_angle_alpha 90.00
_cell_angle_beta 90.00
_cell_angle_gamma 90.00
_symmetry_space_group_name_H-M 'P 1'
_symmetry_Int_Tables_number 1
loop_
_symmetry_equiv_pos_as_xyz
'x,y,z'
loop_
_atom_site_label
_atom_site_fract_x
_atom_site_fract_y
_atom_site_fract_z
_atom_site_occupancy
O1 0.500 0.000 0.000 1
Rb1 0.000 0.000 0.000 1
F1 0.000 0.500 0.000 1
Nb1 0.500 0.500 0.500 1
F2 0.000 0.000 0.500 1
```

Output
VASP energy = -4.129 eV per atom
raw formation energy = 0.061 eV/atom
M_tot = 2.8 μB/f.u.
calculated volume = 96.1 Å³ per cell
theoretical density = 4.02 g cm⁻³



Compound: NbSO2F
Source: Alexandria via LeMat-Bulk
Functional: GGA-PBEsol
Structure: relaxed

Structure (CIF):
```
data_NbSO2F
_chemical_formula_sum 'Nb1 S1 O2 F1'
_cell_length_a 3.964
_cell_length_b 3.964
_cell_length_c 4.203
_cell_angle_alpha 90.00
_cell_angle_beta 90.00
_cell_angle_gamma 90.00
_symmetry_space_group_name_H-M 'P 1'
_symmetry_Int_Tables_number 1
loop_
_symmetry_equiv_pos_as_xyz
'x,y,z'
loop_
_atom_site_label
_atom_site_fract_x
_atom_site_fract_y
_atom_site_fract_z
_atom_site_occupancy
O1 0.500 0.000 0.000 1
S1 0.500 0.500 0.500 1
Nb1 0.000 0.000 0.000 1
F1 0.000 0.000 0.500 1
O2 0.000 0.500 0.000 1
```

Output
VASP energy = -6.862 eV per atom
raw formation energy = -1.336 eV/atom
M_tot = 2.1 μB/f.u.
calculated volume = 66.0 Å³ per cell
theoretical density = 4.43 g cm⁻³